A geometry-optimized KWO3 structure. Source: Alexandria, functional PBE with a Hubbard U.

The structure in POSCAR format:
```
KWO3
1.0
3.039 -7.831 0.000
3.039 7.831 0.000
0.000 0.000 5.134
K W O
2 2 6
direct
0.180 0.820 0.750
0.820 0.180 0.250
0.408 0.592 0.750
0.592 0.408 0.250
0.101 0.420 0.750
0.420 0.101 0.250
0.500 0.500 0.000
0.500 0.500 0.500
0.580 0.899 0.750
0.899 0.580 0.250
```

Results
magnetization	0.000	Bohr magnetons per cell
E	-63.80	eV/cell